Record 1
12
Lattice="8.864 -2.670 0.000 8.864 2.670 0.000 -1.235 0.000 4.630" Properties=species:S:1:pos:R:3 comment="AlCdAu4 | Alexandria | GGA-PBE | optimized geometry" mass_density_g_cm3=14.1 dft_energy_ev_per_cell=-38.1 polymorph_energy_mev_per_atom=0.0 e_form_mev_per_atom=-211 pbc="T T T"
Al 4.432 1.335 0.000
Al 3.814 -1.335 2.315
Cd 7.937 1.729 3.473
Cd 8.555 -1.729 1.158
Au 5.095 1.738 2.696
Au 7.092 0.888 0.755
Au 10.780 1.738 4.249
Au 10.018 0.888 1.560
Au 6.474 -0.888 3.070
Au 5.712 -1.738 0.381
Au 9.401 -0.888 3.875
Au 11.398 -1.738 1.934

***

Record 2
16
Lattice="7.451 0.000 0.000 0.000 7.451 0.000 0.000 0.000 7.451" Properties=species:S:1:pos:R:3 comment="PmPrHoRu | Alexandria | GGA-PBE | optimized geometry" mass_density_g_cm3=8.9 dft_energy_ev_per_cell=-90.4 e_form_mev_per_atom=196 pbc="T T T"
Pm 0.000 0.000 0.000
Pm 0.000 3.726 3.726
Pm 3.726 0.000 3.726
Pm 3.726 3.726 0.000
Pr 0.000 0.000 3.726
Pr 0.000 3.726 0.000
Pr 3.726 0.000 0.000
Pr 3.726 3.726 3.726
Ho 1.863 1.863 5.588
Ho 1.863 5.588 1.863
Ho 5.588 1.863 1.863
Ho 5.588 5.588 5.588
Ru 1.863 1.863 1.863
Ru 1.863 5.588 5.588
Ru 5.588 1.863 5.588
Ru 5.588 5.588 1.863